# BeSb2RuF PBE optimized geometry
data_BeSb2RuF
_cell_length_a 4.8253
_cell_length_b 4.8253
_cell_length_c 4.0875
_cell_angle_alpha 90.00
_cell_angle_beta 90.00
_cell_angle_gamma 90.00
_space_group_name_H-M_alt 'P 4/m m m'
_space_group_IT_number 123
_space_group_name_Hall '-P 4 2'
loop_
_atom_site_label
_atom_site_type_symbol
_atom_site_fract_x
_atom_site_fract_y
_atom_site_fract_z
Be1 Be 0.0000 0.0000 0.0000
Sb1 Sb 0.0000 0.5000 0.5000
Ru1 Ru 0.5000 0.5000 0.0000
F1 F 0.5000 0.5000 0.5000
# Density of states at the Fermi level = 3.432 states/eV/f.u.
# Total magnetization = 0.000 μB per formula unit
# Uncorrected energy = -4.005 eV/atom

=====

# Be2SnRuF PBE optimized geometry
data_Be2SnRuF
_cell_length_a 4.3091
_cell_length_b 4.3091
_cell_length_c 4.1472
_cell_angle_alpha 90.00
_cell_angle_beta 90.00
_cell_angle_gamma 90.00
_space_group_name_H-M_alt 'P 4/m m m'
_space_group_IT_number 123
_space_group_name_Hall '-P 4 2'
loop_
_atom_site_label
_atom_site_type_symbol
_atom_site_fract_x
_atom_site_fract_y
_atom_site_fract_z
Be1 Be 0.0000 0.5000 0.0000
Sn1 Sn 0.0000 0.0000 0.5000
Ru1 Ru 0.5000 0.5000 0.0000
F1 F 0.5000 0.5000 0.5000
# Density of states at the Fermi level = 1.924 states/eV/f.u.
# Total magnetization = 0.000 μB per formula unit
# Uncorrected energy = -4.392 eV/atom

=====

# YBeRu2F PBE optimized geometry
data_YBeRu2F
_cell_length_a 4.0206
_cell_length_b 4.0206
_cell_length_c 5.0397
_cell_angle_alpha 90.00
_cell_angle_beta 90.00
_cell_angle_gamma 90.00
_space_group_name_H-M_alt 'P 4/m m m'
_space_group_IT_number 123
_space_group_name_Hall '-P 4 2'
loop_
_atom_site_label
_atom_site_type_symbol
_atom_site_fract_x
_atom_site_fract_y
_atom_site_fract_z
Y1 Y 0.0000 0.0000 0.0000
Be1 Be 0.5000 0.5000 0.5000
Ru1 Ru 0.0000 0.5000 0.5000
F1 F 0.5000 0.5000 0.0000
# Density of states at the Fermi level = 5.236 states/eV/f.u.
# Total magnetization = 0.000 μB per formula unit
# ΔE to the lowest computed polymorph = 0.0 meV/atom
# Uncorrected energy = -6.231 eV/atom

=====

no.,theoretical density (g/cm³)
1,6.50
2,5.54
3,6.50